(1)
# AsBrOF2

A geometry-optimized AsBrOF2 structure (PBE-GGA, Alexandria via LeMat-Bulk).

a = 4.0600 Å, b = 4.0600 Å, c = 4.4662 Å
α = 90.00°, β = 90.00°, γ = 90.00°
Atoms (fractional coordinates):
As  0.0000  0.0000  0.0000
Br  0.5000  0.5000  0.5000
O  0.0000  0.0000  0.5000
F  0.0000  0.5000  0.0000
F  0.5000  0.0000  0.0000

Output
* symmetry: P4/mmm, No. 123
* DOS(E_F): 0.63 states/eV/atom
* VASP energy: -3.695 eV per atom


(2)
# TiTcNi

A geometry-optimized TiTcNi structure (PBE-GGA, Alexandria via LeMat-Bulk).

a = 5.1441 Å, b = 5.1441 Å, c = 4.2240 Å
α = 90.00°, β = 90.00°, γ = 131.94°
Atoms (fractional coordinates):
Ti  0.0000  0.0000  0.0000
Ti  0.5000  0.5000  0.5000
Tc  0.1618  0.8382  0.5000
Tc  0.8382  0.1618  0.5000
Ni  0.3277  0.6723  0.0000
Ni  0.6723  0.3277  0.0000

Output
* symmetry: Cmmm, No. 65
* DOS(E_F): 1.04 states/eV/atom
* VASP energy: -8.219 eV per atom


- The lowest DOS(E_F) belongs to which entry?
  AsBrOF2


- Among the records above, which one has the lowest VASP energy?
  TiTcNi


- What is the DOS(E_F) in the first record?
  0.63 states/eV/atom


- Which of these has the highest DOS(E_F)?
  TiTcNi